Entry 1:
A relaxed structure of Rb3Pu2InS6, computed with PBE.

```
Rb3Pu2InS6
1.0
-6.9983 -0.5880 -1.2575
4.6275 -4.0312 -3.6385
0.2831 -3.8698 6.9786
Rb In Pu S
3 1 2 6
Direct
0.8346 0.1654 0.5000 Rb
0.5000 0.5000 0.5000 Rb
0.1654 0.8346 0.5000 Rb
0.0000 0.0000 0.0000 In
0.6668 0.3332 0.0000 Pu
0.3332 0.6668 0.0000 Pu
0.9368 0.6064 0.8105 S
0.6064 0.9368 0.8105 S
0.0632 0.3936 0.1895 S
0.7328 0.7328 0.1892 S
0.3936 0.0632 0.1895 S
0.2672 0.2672 0.8108 S
```

Formation energy from raw total energies   -1289 meV/atom
Total magnetic moment   0.8335 μB/atom
Space group   C2/m
VASP energy   -6.21 eV per atom
N(E_F)   1.788 states/eV per atom

***

Entry 2:
A relaxed structure of BaSiBr2, computed with PBE.

```
BaSiBr2
1.0
3.4816 -6.6308 5.6868
7.1552 -4.7304 3.8542
5.1181 -2.7709 7.3862
Br Si Ba
2 1 1
Direct
0.8814 0.8814 0.8814 Br
0.1186 0.1186 0.1186 Br
0.5000 0.5000 0.5000 Si
0.0000 0.0000 0.0000 Ba
```

Formation energy from raw total energies   -232 meV/atom
Total magnetic moment   0.0000 μB/atom
Space group   R-3m
VASP energy   -2.90 eV per atom
N(E_F)   0.563 states/eV per atom

***

Entry 3:
A relaxed structure of CaCu2, computed with PBE.

```
CaCu2
1.0
-1.9562 2.4720 1.1832
-1.5331 -2.1920 2.0450
5.0519 0.8053 1.8786
Ca Cu
1 2
Direct
0.0000 0.0000 0.0000 Ca
0.2961 0.2961 0.5922 Cu
0.7039 0.7039 0.4078 Cu
```

ΔE_f   -0.02 eV/f.u.
Total magnetic moment   0.0000 μB/atom
Space group   I4/mmm
VASP energy   -3.41 eV per atom
N(E_F)   0.367 states/eV per atom